This record from Alexandria via LeMat-Bulk describes an optimized crystal structure of Tl2TeSe4. The functional is PBE-GGA.

Output
total DFT energy (no corrections) = -0.24202 Ry per atom
polymorph energy (0 for the lowest one) = 0.00 eV/f.u.
mass density = 6.38 Mg/m³

abc: 6.8638 9.7725 7.5247
angles: 109.34 68.62 97.17
Atoms (fractional coordinates):
Tl: 0.3720 0.1321 0.9176
Tl: 0.6280 0.8679 0.0824
Tl: 0.8221 0.7417 0.5326
Tl: 0.1779 0.2583 0.4674
Te: 0.2021 0.6541 0.9194
Te: 0.7979 0.3459 0.0806
Se: 0.5579 0.3597 0.6719
Se: 0.0371 0.8890 0.1896
Se: 0.9629 0.1110 0.8104
Se: 0.8604 0.5048 0.8064
Se: 0.7461 0.1927 0.3580
Se: 0.1396 0.4952 0.1936
Se: 0.4421 0.6403 0.3281
Se: 0.2539 0.8073 0.6420